# Be3Co2 GGA-PBE relaxed
data_Be3Co2
_chemical_formula_sum 'Be12 Co8'
_cell_length_a 2.406
_cell_length_b 20.501
_cell_length_c 3.505
_cell_angle_alpha 90.00
_cell_angle_beta 90.00
_cell_angle_gamma 90.00
_space_group_name_H-M_alt 'C m c m'
_space_group_IT_number 63
_space_group_name_Hall '-C 2c 2'
loop_
_atom_site_label
_atom_site_fract_x
_atom_site_fract_y
_atom_site_fract_z
Be1 0.000 0.024 0.250
Be2 0.000 0.122 0.250
Be3 0.000 0.176 0.750
Co1 0.000 0.284 0.750
Co2 0.000 0.426 0.250
# **Excess energy over the best structure of this formula in the dataset**: 0.0 meV per atom
# **Formation enthalpy at 0 K**: -0.246 eV per atom

=====

# BaTcP2Cl GGA-PBE relaxed
data_BaTcP2Cl
_chemical_formula_sum 'Ba1 Tc1 P2 Cl1'
_cell_length_a 4.616
_cell_length_b 4.616
_cell_length_c 5.461
_cell_angle_alpha 90.00
_cell_angle_beta 90.00
_cell_angle_gamma 90.00
_space_group_name_H-M_alt 'P 4/m m m'
_space_group_IT_number 123
_space_group_name_Hall '-P 4 2'
loop_
_atom_site_label
_atom_site_fract_x
_atom_site_fract_y
_atom_site_fract_z
Ba1 0.000 0.000 0.000
Tc1 0.500 0.500 0.500
P1 0.000 0.500 0.500
Cl1 0.500 0.500 0.000
# **Excess energy over the best structure of this formula in the dataset**: 0.0 meV per atom
# **Raw formation energy**: -0.6454 eV per atom